Y3ErSe6: optimized geometry, PBE.

Unit cell a=6.8384 b=7.5151 c=10.4771 alpha=90.00 beta=90.23 gamma=90.00
Sites, in units of the cell vectors:
Se 0.1691 0.3181 0.0824
Y 0.0000 0.0000 0.5000
Y 0.4531 0.1059 0.2509
Se 0.6691 0.1819 0.5824
Se 0.6718 0.1800 0.9170
Se 0.8388 0.9395 0.2484
Y 0.5000 0.5000 0.0000
Se 0.3282 0.8200 0.0830
Se 0.3309 0.8181 0.4176
Se 0.1718 0.3200 0.4170
Er 0.0000 0.0000 0.0000
Se 0.8309 0.6819 0.9176
Y 0.9531 0.3941 0.7509
Se 0.1612 0.0605 0.7516
Se 0.6612 0.4395 0.2516
Y 0.0469 0.6059 0.2491
Se 0.8282 0.6800 0.5830
Se 0.3388 0.5605 0.7484
Er 0.5000 0.5000 0.5000
Y 0.5469 0.8941 0.7491

* spin magnetization: 0.00 μB per cell
* excess energy over the best structure of this formula in the dataset: 2.50 kJ/mol of atoms
* ΔE_f (raw): -1.8344 eV per atom
* theoretical density: 5.599 Mg/m³
* total energy: -6.32 eV per atom
* calculated volume: 269.21 Å³/f.u.